[1]
# MgAsCl, relaxed, DFT PBE-GGA
data_MgAsCl
_space_group_name_H-M_alt 'P 1'
_space_group_IT_number 1
_cell_length_a 4.7537
_cell_length_b 4.7537
_cell_length_c 4.7537
_cell_angle_alpha 60.00
_cell_angle_beta 60.00
_cell_angle_gamma 60.00
loop_
_space_group_symop_operation_xyz
'x,y,z'
loop_
_atom_site_label
_atom_site_fract_x
_atom_site_fract_y
_atom_site_fract_z
Mg1 0.0000 0.0000 0.0000
As1 0.7500 0.7500 0.7500
Cl1 0.5000 0.5000 0.5000
# Energy relative to the lowest polymorph listed for this composition: 2.50 eV per formula unit
# Formation energy from raw total energies: 0.08 eV/atom
# Magnetic moment: 0.44 μB/cell
# Final energy: -2.61 eV per atom


[2]
# Tb6DyY2Sc, relaxed, DFT PBE-GGA
data_Tb6DyY2Sc
_space_group_name_H-M_alt 'P 1'
_space_group_IT_number 1
_cell_length_a 8.7330
_cell_length_b 8.7330
_cell_length_c 9.3700
_cell_angle_alpha 93.43
_cell_angle_beta 93.43
_cell_angle_gamma 117.18
loop_
_space_group_symop_operation_xyz
'x,y,z'
loop_
_atom_site_label
_atom_site_fract_x
_atom_site_fract_y
_atom_site_fract_z
Tb1 0.0041 0.5632 0.1913
Tb2 0.1254 0.7568 0.5552
Tb3 0.2432 0.8746 0.9448
Tb4 0.2915 0.5107 0.3847
Tb5 0.4368 0.9959 0.3087
Tb6 0.4893 0.7085 0.1153
Tb7 0.5107 0.2915 0.8847
Tb8 0.5632 0.0041 0.6913
Tb9 0.7085 0.4893 0.6153
Tb10 0.7568 0.1254 0.0552
Tb11 0.8746 0.2432 0.4448
Tb12 0.9959 0.4368 0.8087
Dy1 0.0245 0.9755 0.2500
Dy2 0.9755 0.0245 0.7500
Y1 0.2030 0.3044 0.0473
Y2 0.3044 0.2030 0.5473
Y3 0.6956 0.7970 0.4527
Y4 0.7970 0.6956 0.9527
Sc1 0.4146 0.5854 0.7500
Sc2 0.5854 0.4146 0.2500
# Magnetic moment: 0.00 μB/cell
# Final energy: -5.03 eV per atom


[3]
# PmTmCdPd, relaxed, DFT PBE-GGA
data_PmTmCdPd
_space_group_name_H-M_alt 'P 1'
_space_group_IT_number 1
_cell_length_a 5.1583
_cell_length_b 5.1583
_cell_length_c 5.1583
_cell_angle_alpha 60.00
_cell_angle_beta 60.00
_cell_angle_gamma 60.00
loop_
_space_group_symop_operation_xyz
'x,y,z'
loop_
_atom_site_label
_atom_site_fract_x
_atom_site_fract_y
_atom_site_fract_z
Pm1 0.0000 0.0000 0.0000
Tm1 0.5000 0.5000 0.5000
Cd1 0.2500 0.2500 0.2500
Pd1 0.7500 0.7500 0.7500
# Magnetic moment: 0.00 μB/cell
# Final energy: -4.35 eV per atom


[4]
# PPdPbCl2, relaxed, DFT PBE-GGA
data_PPdPbCl2
_space_group_name_H-M_alt 'P 1'
_space_group_IT_number 1
_cell_length_a 5.0571
_cell_length_b 5.0571
_cell_length_c 4.8705
_cell_angle_alpha 90.00
_cell_angle_beta 90.00
_cell_angle_gamma 90.00
loop_
_space_group_symop_operation_xyz
'x,y,z'
loop_
_atom_site_label
_atom_site_fract_x
_atom_site_fract_y
_atom_site_fract_z
P1 0.0000 0.0000 0.0000
Pd1 0.0000 0.0000 0.5000
Pb1 0.5000 0.5000 0.0000
Cl1 0.0000 0.5000 0.5000
Cl2 0.5000 0.0000 0.5000
# Energy relative to the lowest polymorph listed for this composition: 0.00 eV per formula unit
# Formation energy from raw total energies: -0.08 eV/atom
# Magnetic moment: 0.00 μB/cell
# Final energy: -3.68 eV per atom


[5]
# CsCaN2F, relaxed, DFT PBE-GGA
data_CsCaN2F
_space_group_name_H-M_alt 'P 1'
_space_group_IT_number 1
_cell_length_a 4.6159
_cell_length_b 4.6159
_cell_length_c 9.3623
_cell_angle_alpha 90.00
_cell_angle_beta 90.00
_cell_angle_gamma 90.00
loop_
_space_group_symop_operation_xyz
'x,y,z'
loop_
_atom_site_label
_atom_site_fract_x
_atom_site_fract_y
_atom_site_fract_z
Cs1 0.0000 0.0000 0.0000
Ca1 0.0000 0.0000 0.5000
N1 0.0000 0.5000 0.5000
N2 0.5000 0.0000 0.5000
F1 0.5000 0.5000 0.0000
# Energy relative to the lowest polymorph listed for this composition: 0.00 eV per formula unit
# Formation energy from raw total energies: 0.22 eV/atom
# Magnetic moment: 4.00 μB/cell
# Final energy: -4.06 eV per atom


[6]
# TiCdGe2, relaxed, DFT PBE-GGA
data_TiCdGe2
_space_group_name_H-M_alt 'P 1'
_space_group_IT_number 1
_cell_length_a 5.9601
_cell_length_b 5.9601
_cell_length_c 5.9601
_cell_angle_alpha 104.06
_cell_angle_beta 104.06
_cell_angle_gamma 120.94
loop_
_space_group_symop_operation_xyz
'x,y,z'
loop_
_atom_site_label
_atom_site_fract_x
_atom_site_fract_y
_atom_site_fract_z
Ti1 0.0000 0.0000 0.0000
Ti2 0.7500 0.2500 0.5000
Cd1 0.2500 0.7500 0.5000
Cd2 0.5000 0.5000 0.0000
Ge1 0.1164 0.6250 0.9914
Ge2 0.3750 0.3664 0.4914
Ge3 0.6336 0.1250 0.0086
Ge4 0.8750 0.8836 0.5086
# Magnetic moment: 0.00 μB/cell
# Final energy: -4.29 eV per atom


[7]
# Cs3In2Cl6, relaxed, DFT PBE-GGA
data_Cs3In2Cl6
_space_group_name_H-M_alt 'P 1'
_space_group_IT_number 1
_cell_length_a 12.8723
_cell_length_b 12.8723
_cell_length_c 12.8723
_cell_angle_alpha 154.47
_cell_angle_beta 154.47
_cell_angle_gamma 36.41
loop_
_space_group_symop_operation_xyz
'x,y,z'
loop_
_atom_site_label
_atom_site_fract_x
_atom_site_fract_y
_atom_site_fract_z
Cs1 0.0000 0.0000 0.0000
Cs2 0.1773 0.1773 0.0000
Cs3 0.8227 0.8227 0.0000
In1 0.4288 0.4288 0.0000
In2 0.5712 0.5712 0.0000
Cl1 0.0831 0.5831 0.5000
Cl2 0.3180 0.3180 0.0000
Cl3 0.4169 0.9169 0.5000
Cl4 0.5831 0.0831 0.5000
Cl5 0.6820 0.6820 0.0000
Cl6 0.9169 0.4169 0.5000
# Formation energy from raw total energies: -1.50 eV/atom
# Magnetic moment: 0.00 μB/cell
# Final energy: -3.23 eV per atom


[8]
# CePuMnPt, relaxed, DFT PBE-GGA
data_CePuMnPt
_space_group_name_H-M_alt 'P 1'
_space_group_IT_number 1
_cell_length_a 4.9298
_cell_length_b 4.9298
_cell_length_c 4.9298
_cell_angle_alpha 60.00
_cell_angle_beta 60.00
_cell_angle_gamma 60.00
loop_
_space_group_symop_operation_xyz
'x,y,z'
loop_
_atom_site_label
_atom_site_fract_x
_atom_site_fract_y
_atom_site_fract_z
Ce1 0.0000 0.0000 0.0000
Pu1 0.5000 0.5000 0.5000
Mn1 0.7500 0.7500 0.7500
Pt1 0.2500 0.2500 0.2500
# Magnetic moment: 3.55 μB/cell
# Final energy: -9.18 eV per atom


> What is the formula in the sixth record?

TiCdGe2